Material: BeNiTe
Method: DFT, PBE
State: relaxed

Calculated values
* E_tot: -4.350 eV per atom
* mass density: 6486 kg/m³
* formation energy from raw total energies: -0.134 eV/atom
* space-group type: C2/m, No. 12

Cell lengths 3.6284, 5.1470, 8.0111 Å; angles 108.57, 76.94, 135.16 degrees
With the nearest neighbours (Å) after each atom.
Fractional coordinates of all 6 atoms:
Ni1 0.1642 0.4790 0.8076  4 Be 2.23
Ni2 0.1643 0.3093 0.4650  4 Be 2.23
Te1 0.1642 0.0331 0.9169  4 Ni 2.69-2.70, 4 Be 2.80
Te2 0.1644 0.7550 0.3558  4 Ni 2.69-2.70, 4 Be 2.80
Be1 0.6652 0.8941 0.6363  4 Ni 2.23
Be2 0.6642 0.3940 0.6364  4 Ni 2.23